A plane-wave DFT calculation with PBE with a Hubbard U was carried out for a geometry-optimized Tl2FeHgO structure.

Values from the calculation:
* density: 9.18 g cm⁻³
* total magnetization: 3.33 μB/f.u.
* raw total energy: -3.422 eV per atom

The structure in CIF format:
```
data_Tl2FeHgO
_symmetry_space_group_name_H-M 'P 4/m m m'
_symmetry_Int_Tables_number 123
_symmetry_space_group_name_Hall '-P 4 2'
_cell_length_a 5.7566
_cell_length_b 5.7566
_cell_length_c 3.7174
_cell_angle_alpha 90.00
_cell_angle_beta 90.00
_cell_angle_gamma 90.00
loop_
_atom_site_label
_atom_site_type_symbol
_atom_site_fract_x
_atom_site_fract_y
_atom_site_fract_z
_atom_site_occupancy
Tl1 Tl 0.0000 0.5000 0.0000 1
Fe1 Fe 0.0000 0.0000 0.5000 1
Hg1 Hg 0.5000 0.5000 0.5000 1
O1 O 0.0000 0.0000 0.0000 1
```